# KVO2 | Alexandria | GGA+U | optimized geometry
data_KVO2
_chemical_formula_sum 'K2 V2 O4'
_symmetry_space_group_name_H-M 'P 1'
_symmetry_Int_Tables_number 1
_symmetry_space_group_name_Hall 'P 1'
_cell_length_a 4.762
_cell_length_b 4.787
_cell_length_c 7.681
_cell_angle_alpha 80.24
_cell_angle_beta 80.17
_cell_angle_gamma 80.15
loop_
_atom_site_label
_atom_site_type_symbol
_atom_site_fract_x
_atom_site_fract_y
_atom_site_fract_z
_atom_site_occupancy
K1 K 0.000 0.000 0.000 1
K2 K 0.480 0.480 0.661 1
V1 V 0.070 0.059 0.429 1
V2 V 0.422 0.412 0.231 1
O1 O 0.129 0.058 0.646 1
O2 O 0.260 0.734 0.324 1
O3 O 0.421 0.354 0.014 1
O4 O 0.748 0.222 0.335 1
# Energy, eV per cell: -49.9
# Theoretical density, g/cm3: 2.41